# 1
Crystalline AcLaNd at its relaxed geometry, computed with GGA-PBE.

Values from the calculation:
- Formation energy: 0.078 eV/atom
- Crystal system: hexagonal
- Total DFT energy (no corrections): -4.523 eV per atom
- Excess energy over the best structure of this formula in the dataset: 0.0552 eV/atom
- Symmetry: P-6m2 (187)

The structure in extended XYZ format:
```
3
Lattice="-2.949 5.264 0.398 -2.029 -4.330 -3.702 -2.075 -1.370 2.740" Properties=species:S:1:pos:R:3 pbc="T T T"
Ac -0.346 -0.229 0.457
La -3.719 -2.045 -0.508
Nd -2.988 1.838 -0.512
```

=====

# 2
Crystalline PaRuRh3 at its relaxed geometry, computed with GGA-PBE.

Values from the calculation:
- Formation energy: -0.430 eV/atom
- Crystal system: orthorhombic
- Total DFT energy (no corrections): -8.596 eV per atom
- Symmetry: Pmmn (59)

The structure in extended XYZ format:
```
10
Lattice="4.094 0.000 0.001 0.000 6.458 0.000 -0.001 0.000 6.370" Properties=species:S:1:pos:R:3 pbc="T T T"
Pa 2.047 0.000 1.632
Pa -0.001 3.229 4.737
Ru 4.093 0.000 3.500
Ru 2.046 3.229 2.871
Rh 4.093 4.530 1.618
Rh 2.046 5.158 4.752
Rh 2.046 1.300 4.752
Rh 4.093 1.929 1.618
Rh -0.001 0.000 6.065
Rh 2.047 3.229 0.305
```

=====

# 3
Crystalline Dy5Cd2Ru2Pt at its relaxed geometry, computed with GGA-PBE.

Values from the calculation:
- Formation energy: -0.453 eV/atom
- Crystal system: tetragonal
- Total DFT energy (no corrections): -5.396 eV per atom
- Symmetry: P4/mbm (127)

The structure in extended XYZ format:
```
20
Lattice="3.608 0.000 0.000 0.000 11.505 0.000 0.000 0.000 11.505" Properties=species:S:1:pos:R:3 pbc="T T T"
Dy 1.804 2.284 0.839
Dy 1.804 9.221 10.666
Dy 1.804 0.839 9.221
Dy 1.804 8.037 4.914
Dy 1.804 10.666 2.284
Dy 1.804 3.469 6.592
Dy 1.804 6.592 8.037
Dy 1.804 4.914 3.469
Dy 1.804 5.753 0.000
Dy 1.804 0.000 5.753
Cd 0.000 7.788 2.035
Cd 0.000 3.718 9.470
Cd 0.000 2.035 3.718
Cd 0.000 9.470 7.788
Ru 0.000 1.517 7.269
Ru 0.000 9.989 4.236
Ru 0.000 7.269 9.989
Ru 0.000 4.236 1.517
Pt 0.000 0.000 0.000
Pt 0.000 5.753 5.753
```

=====

# 4
Crystalline Ca2YEr at its relaxed geometry, computed with GGA-PBE.

Values from the calculation:
- Formation energy: 0.191 eV/atom
- Crystal system: cubic
- Total DFT energy (no corrections): -3.566 eV per atom
- Excess energy over the best structure of this formula in the dataset: 0.0540 eV/atom
- Symmetry: Fm-3m (225)

The structure in extended XYZ format:
```
4
Lattice="5.836 0.000 0.000 2.918 5.054 0.000 2.918 1.685 4.765" Properties=species:S:1:pos:R:3 pbc="T T T"
Y 5.836 3.369 2.382
Ca 2.918 1.685 1.191
Ca 8.753 5.054 3.574
Er 0.000 0.000 0.000
```

=====

# 5
Crystalline ScBrCl at its relaxed geometry, computed with GGA-PBE.

Values from the calculation:
- ΔE_f (raw): -1.3957 eV/atom
- Crystal system: cubic
- Total DFT energy (no corrections): -4.679 eV per atom
- Symmetry: F-43m (216)

The structure in extended XYZ format:
```
3
Lattice="4.696 0.000 0.000 2.348 4.067 0.000 2.348 1.356 3.834" Properties=species:S:1:pos:R:3 pbc="T T T"
Br 0.000 0.000 0.000
Cl 4.696 2.711 1.917
Sc 2.348 1.356 0.958
```

=====

# 6
Crystalline CaLa2YRe at its relaxed geometry, computed with GGA-PBE.

Values from the calculation:
- Formation energy: 0.137 eV/atom
- Crystal system: tetragonal
- Total DFT energy (no corrections): -6.016 eV per atom
- Symmetry: P4/mmm (123)

The structure in extended XYZ format:
```
5
Lattice="5.567 0.000 0.000 0.000 5.567 0.000 0.000 0.000 5.717" Properties=species:S:1:pos:R:3 pbc="T T T"
Y 0.000 0.000 2.858
Re 0.000 0.000 0.000
Ca 2.783 2.783 2.858
La 0.000 2.783 0.000
La 2.783 0.000 0.000
```

=====

# 7
Crystalline Ti5P2HC at its relaxed geometry, computed with GGA-PBE.

Values from the calculation:
- Crystal system: orthorhombic
- Total DFT energy (no corrections): -7.959 eV per atom
- Symmetry: Cmc2_1 (36)

The structure in extended XYZ format:
```
18
Lattice="-2.090 1.332 -2.169 2.687 -5.596 -3.526 -7.250 -5.683 3.495" Properties=species:S:1:pos:R:3 pbc="T T T"
Ti 0.995 -3.413 -3.055
Ti -6.743 -6.177 0.203
Ti -6.594 -3.692 1.586
Ti -3.800 -6.818 -0.526
Ti -3.298 -6.946 -3.590
Ti -4.248 -3.868 -0.784
Ti -1.686 -5.162 -1.546
Ti -0.287 -6.434 -3.676
Ti -1.606 -2.152 -2.274
Ti -0.074 -0.429 -0.192
P -5.866 -7.823 -1.653
P -4.625 -5.157 1.289
P -2.042 -3.108 0.059
P -1.212 -4.150 -3.882
H -7.617 -5.216 1.635
H -1.691 -6.811 -2.554
C -3.772 -5.395 -2.180
C 0.467 -1.927 -1.634
```

=====

# 8
Crystalline TlZnOs2 at its relaxed geometry, computed with GGA-PBE.

Values from the calculation:
- Formation energy: 0.773 eV/atom
- Crystal system: orthorhombic
- Total DFT energy (no corrections): -5.752 eV per atom
- Excess energy over the best structure of this formula in the dataset: 0.4172 eV/atom
- Symmetry: Cmm2 (35)

The structure in extended XYZ format:
```
4
Lattice="2.870 0.001 0.000 -1.449 2.477 0.000 0.000 0.000 9.948" Properties=species:S:1:pos:R:3 pbc="T T T"
Os 0.000 0.000 0.055
Os 0.710 1.239 2.186
Tl 0.000 0.000 4.900
Zn 0.710 1.239 7.781
```

=====

# 9
Crystalline RbPPbO2 at its relaxed geometry, computed with GGA-PBE.

Values from the calculation:
- ΔE_f (raw): -0.0964 eV/atom
- Crystal system: tetragonal
- Total DFT energy (no corrections): -4.097 eV per atom
- Excess energy over the best structure of this formula in the dataset: 0.0000 eV/atom
- Symmetry: P4/mmm (123)

The structure in extended XYZ format:
```
5
Lattice="4.543 0.000 0.000 0.000 4.543 0.000 0.000 0.000 5.361" Properties=species:S:1:pos:R:3 pbc="T T T"
Pb 0.000 0.000 0.000
P 0.000 0.000 2.681
O 0.000 2.272 0.000
O 2.272 0.000 0.000
Rb 2.272 2.272 2.681
```

=====

# 10
Crystalline ZrNiP2 at its relaxed geometry, computed with GGA-PBE.

Values from the calculation:
- Formation energy: -0.383 eV/atom
- Crystal system: cubic
- Total DFT energy (no corrections): -6.670 eV per atom
- Symmetry: Fm-3m (225)

The structure in extended XYZ format:
```
4
Lattice="0.000 3.104 3.104 3.104 0.000 3.104 3.104 3.104 0.000" Properties=species:S:1:pos:R:3 pbc="T T T"
Ni 0.000 0.000 0.000
Zr 3.104 3.104 3.104
P 1.552 1.552 1.552
P 4.657 4.657 4.657
```

=====

# 11
Crystalline Ca2PdPb3 at its relaxed geometry, computed with GGA-PBE.

Values from the calculation:
- Formation energy: -0.407 eV/atom
- Crystal system: orthorhombic
- Total DFT energy (no corrections): -3.794 eV per atom
- Symmetry: Pmm2 (25)

The structure in extended XYZ format:
```
6
Lattice="-3.314 1.638 -0.293 -1.097 -2.938 -4.024 -3.504 -6.120 5.424" Properties=species:S:1:pos:R:3 pbc="T T T"
Ca -0.689 -1.714 -1.795
Ca -1.697 -2.964 2.627
Pd -3.323 -2.601 -0.430
Pb -4.588 -4.299 4.390
Pb -2.318 -0.334 0.876
Pb -4.421 -4.518 1.270
```

=====

# 12
Crystalline Cs2TlIn3Br6 at its relaxed geometry, computed with GGA-PBE.

Values from the calculation:
- ΔE_f (raw): -1.0508 eV/atom
- Crystal system: monoclinic
- Total DFT energy (no corrections): -2.911 eV per atom
- Symmetry: C2/m (12)

The structure in extended XYZ format:
```
12
Lattice="4.919 0.000 0.000 0.000 9.781 0.452 -2.459 -2.713 10.318" Properties=species:S:1:pos:R:3 pbc="T T T"
Cs 2.459 4.821 7.190
Cs 0.000 2.247 3.580
Tl 2.459 0.000 0.000
In 2.459 4.890 0.226
In 2.459 -0.159 7.056
In 0.000 7.227 3.714
Br 0.000 7.418 7.442
Br 2.459 4.891 3.540
Br 2.459 -0.350 3.328
Br 2.459 -0.262 10.286
Br 0.000 7.331 0.484
Br 0.000 2.178 7.230
```

=====

Q: Which mass density values were calculated for the entries above? A: 7.23 12.64 9.98 3.97 3.64 5.56 4.63 15.26 5.34 5.88 7.97 4.28, in g/cm³.